The following is a PBE with a Hubbard U calculation of a relaxed structure of VCoAgF6, from Alexandria.

```
18
Lattice="5.406 0.000 0.000 -2.703 4.682 0.000 0.000 0.000 10.429" Properties=species:S:1:pos:R:3 pbc="T T T"
V 0.000 3.121 2.607
V 2.703 1.561 7.822
Co 0.000 3.121 7.822
Co 2.703 1.561 2.607
Ag 0.000 0.000 0.000
Ag 0.000 0.000 5.215
F -0.943 1.741 1.533
F -1.667 2.994 3.681
F 0.943 1.741 3.681
F -0.724 4.628 1.533
F 1.979 0.053 6.748
F 1.036 1.687 8.896
F 1.667 2.994 1.533
F 0.724 4.628 3.681
F 3.427 0.053 8.896
F 1.760 2.941 6.748
F 4.370 1.687 6.748
F 3.646 2.941 8.896
```

**Crystal system**: trigonal
**Final energy**: -5.07 eV/atom
**N(E_F)**: 6.724 states/eV/f.u.